Version P
# BaSrNdCrO6

BaSrNdCrO6 after structural relaxation (PBE with a Hubbard U, the Alexandria database).

Cell lengths 5.899, 5.903, 8.481 Å; angles 89.98, 90.25, 91.31 degrees
Atoms (fractional coordinates):
Cr1 0.000 0.500 0.500
Cr2 0.500 0.000 0.000
O1 0.309 0.264 0.032
O2 0.483 0.048 0.772
O3 0.517 0.952 0.228
O4 0.734 0.689 0.531
O5 0.963 0.529 0.272
O6 0.691 0.736 0.968
O7 0.266 0.311 0.469
O8 0.248 0.815 0.992
O9 0.037 0.471 0.728
O10 0.752 0.185 0.008
O11 0.816 0.248 0.496
O12 0.184 0.752 0.504
Nd1 0.000 0.500 0.000
Nd2 0.500 0.000 0.500
Ba1 0.987 0.991 0.750
Ba2 0.013 0.009 0.250
Sr1 0.517 0.511 0.251
Sr2 0.483 0.489 0.749

As for the crystal system: triclinic. The space group is P-1 (2).

=====

Version Q
# BaSrNdCrO6

BaSrNdCrO6 after structural relaxation (PBE with a Hubbard U, the Alexandria database).

Cell lengths 5.948, 5.948, 5.948 Å; angles 60.00, 60.00, 60.00 degrees
Atoms (fractional coordinates):
O1 0.774 0.774 0.226
O2 0.226 0.774 0.226
O3 0.774 0.226 0.774
O4 0.226 0.226 0.774
O5 0.226 0.774 0.774
O6 0.774 0.226 0.226
Cr1 0.000 0.000 0.000
Nd1 0.500 0.500 0.500
Sr1 0.750 0.750 0.750
Ba1 0.250 0.250 0.250

The calculation puts the density of states at the Fermi level at 3.78 states/eV/f.u. As for the crystal system: cubic. The space group is F-43m (216).

=====

The structure shown above that is least stable: version Q.